A plane-wave DFT calculation with PBE+U was carried out for a relaxed structure of AlVP2CNO9.

Cell: 8.0040 8.3738 8.6470 Å, 68.45 64.87 85.00°
Space group P-1 (No. 2)
Symmetry-distinct sites (fractional):
Al 0.0756 0.2647 0.4564 x2
V 0.4509 0.2589 0.8046 x2
P 0.2304 0.4942 0.5865 x2
P 0.2402 0.0241 0.2221 x2
C 0.3510 0.8794 0.7683 x2
N 0.2487 0.8922 0.6998 x2
O 0.0457 0.5765 0.6441 x2
O 0.0851 0.8787 0.3326 x2
O 0.2079 0.1606 0.3080 x2
O 0.2252 0.3653 0.4993 x2
O 0.2565 0.1069 0.0235 x2
O 0.2647 0.3991 0.7606 x2
O 0.3905 0.6361 0.4496 x2
O 0.4282 0.9479 0.2146 x2
O 0.4569 0.6566 0.1092 x2

Output
The calculation puts the size of the total moment at 1.04 μB/f.u. For the uncorrected energy, the calculation gives -7.31 eV/atom.